No. 1
SrTc2Cl | PBEsol | relaxed

Geometry as POSCAR:
```
SrTc2Cl
1.0
-0.5753 -0.6075 3.5497
3.5937 -0.3313 0.5258
0.4139 6.3102 1.1469
Cl Tc Sr
1 2 1
Cartesian
1.7161 2.6857 2.6112
1.7968 -0.1656 0.2629
-0.2877 -0.3037 1.7749
0.2069 3.1551 0.5735
```

Values from the calculation:
Uncorrected formation energy = 0.352 eV/atom
ΔE to the lowest computed polymorph = 12 meV/atom
N(E_F) = 1.05 states/eV per atom
SG = No. 123

=====

No. 2
SrTc2Cl | PBEsol | relaxed

Geometry as POSCAR:
```
SrTc2Cl
1.0
-0.8221 2.3749 -2.1067
1.0521 -2.3617 -3.0730
-5.9500 -2.2613 2.3250
Sr Cl Tc
1 1 2
Cartesian
0.5260 -1.1809 -1.5365
-0.4111 1.1874 -1.0533
-2.8873 -1.1536 -2.7261
-2.8327 -1.0946 -0.1285
```

Values from the calculation:
Uncorrected formation energy = 0.340 eV/atom
ΔE to the lowest computed polymorph = 0 meV/atom
N(E_F) = 0.94 states/eV per atom
SG = No. 71

=====

> The highest uncorrected formation energy belongs to which entry?

number 1